# GGA-PBE LiHo2PbSe4, relaxed
# Raw formation energy in kJ/mol of atoms: -131.2
data_LiHo2PbSe4
_cell_length_a 8.344
_cell_length_b 8.348
_cell_length_c 11.728
_cell_angle_alpha 90.00
_cell_angle_beta 90.00
_cell_angle_gamma 90.00
_symmetry_space_group_name_H-M 'I m m a'
_symmetry_Int_Tables_number 74
_symmetry_space_group_name_Hall '-I 2b 2'
loop_
_atom_site_label
_atom_site_type_symbol
_atom_site_fract_x
_atom_site_fract_y
_atom_site_fract_z
Li1 Li 0.250 0.250 0.250
Ho1 Ho 0.000 0.000 0.000
Ho2 Ho 0.250 0.250 0.750
Pb1 Pb 0.000 0.000 0.500
Se1 Se 0.000 0.004 0.758
Se2 Se 0.235 0.250 0.001